1.
! PBE-GGA LaAlTc2, relaxed; values from VASP
&SYSTEM
  ibrav = 0, nat = 4, ntyp = 3
/
ATOMIC_SPECIES
La 138.91 La.upf
Al 26.98 Al.upf
Tc 98.00 Tc.upf
ATOMIC_POSITIONS angstrom
La 0.000 0.000 0.000
Al 1.653 0.000 2.630
Tc 0.000 2.117 2.630
Tc 1.653 2.117 0.000
CELL_PARAMETERS angstrom
3.307 0.000 0.000
0.000 4.233 0.000
0.000 0.000 5.260
! - DOS at the Fermi energy (states/eV per cell) = 3.909
! - symmetry = No. 47


2.
! PBE-GGA BaAs2Ru, relaxed; values from VASP
&SYSTEM
  ibrav = 0, nat = 4, ntyp = 3
/
ATOMIC_SPECIES
Ba 137.33 Ba.upf
As 74.92 As.upf
Ru 101.07 Ru.upf
ATOMIC_POSITIONS angstrom
Ba 0.000 0.000 0.000
As 1.467 1.945 2.014
As 1.467 -1.945 2.014
Ru 2.934 0.000 0.000
CELL_PARAMETERS angstrom
2.934 -3.891 0.000
2.934 3.891 0.000
0.000 0.000 4.028
! - DOS at the Fermi energy (states/eV per cell) = 4.161
! - symmetry = No. 65


3.
! PBE-GGA Pm2HoGa, relaxed; values from VASP
&SYSTEM
  ibrav = 0, nat = 8, ntyp = 3
/
ATOMIC_SPECIES
Pm 145.00 Pm.upf
Ho 164.93 Ho.upf
Ga 69.72 Ga.upf
ATOMIC_POSITIONS angstrom
Pm 1.838 4.682 5.427
Pm 1.838 4.682 9.413
Pm 1.838 -4.682 0.480
Pm 1.838 -4.682 4.467
Ho 1.838 0.720 7.420
Ho 1.838 -0.720 2.473
Ga 1.838 3.316 2.473
Ga 1.838 -3.316 7.420
CELL_PARAMETERS angstrom
1.838 -6.418 0.000
1.838 6.418 0.000
0.000 0.000 9.893
! - energy above the lowest structure with this stoichiometry (eV per atom) = 0.000
! - DOS at the Fermi energy (states/eV per cell) = 10.455
! - symmetry = No. 63


4.
! PBE-GGA BaLaAl2, relaxed; values from VASP
&SYSTEM
  ibrav = 0, nat = 4, ntyp = 3
/
ATOMIC_SPECIES
Ba 137.33 Ba.upf
La 138.91 La.upf
Al 26.98 Al.upf
ATOMIC_POSITIONS angstrom
Ba 0.000 0.000 0.000
La 3.962 3.962 3.962
Al 1.981 1.981 1.981
Al 5.943 5.943 5.943
CELL_PARAMETERS angstrom
0.000 3.962 3.962
3.962 0.000 3.962
3.962 3.962 0.000
! - energy above the lowest structure with this stoichiometry (eV per atom) = 0.096
! - DOS at the Fermi energy (states/eV per cell) = 5.322
! - symmetry = No. 225


Number 1: energy -7.009 eV/atom, magnetization 0.000 μB/f.u.. Number 2: energy -4.772 eV/atom, magnetization 0.521 μB/f.u.. Number 3: energy -4.538 eV/atom, magnetization 0.000 μB/f.u.. Number 4: energy -3.674 eV/atom, magnetization 0.000 μB/f.u..